Below is a relaxed structure of CeHo4Sc3, with properties calculated at the PBE level.

Unit cell a=11.182 b=12.600 c=3.245 alpha=90.00 beta=90.00 gamma=90.00
Atoms (fractional coordinates):
Ce 0.000 0.000 0.000
Ce 0.500 0.500 0.000
Ho 0.000 0.248 0.000
Ho 0.000 0.752 0.000
Ho 0.242 0.000 0.500
Ho 0.258 0.500 0.500
Ho 0.500 0.252 0.000
Ho 0.500 0.748 0.000
Ho 0.742 0.500 0.500
Ho 0.758 0.000 0.500
Sc 0.000 0.500 0.000
Sc 0.250 0.250 0.500
Sc 0.250 0.750 0.500
Sc 0.500 0.000 0.000
Sc 0.750 0.250 0.500
Sc 0.750 0.750 0.500

Summary:
Its calculated formation energy is 41.6 kJ per mole of atoms. The total magnetization is 0.17 Bohr magnetons per cell. As for the total DFT energy (no corrections): -4.973 eV per atom.

Below is a relaxed structure of CeHo5Sc4, with properties calculated at the PBE level.

Unit cell a=7.545 b=7.545 c=7.545 alpha=99.31 beta=99.31 gamma=132.56
Atoms (fractional coordinates):
Ce 0.000 0.000 0.000
Ho 0.456 0.456 0.000
Ho 0.489 0.875 0.904
Ho 0.585 0.489 0.614
Ho 0.875 0.971 0.386
Ho 0.971 0.585 0.096
Sc 0.178 0.875 0.589
Sc 0.286 0.588 0.411
Sc 0.588 0.178 0.302
Sc 0.875 0.286 0.698

Summary:
Its calculated formation energy is 33.2 kJ per mole of atoms. The total magnetization is 0.33 Bohr magnetons per cell. As for the total DFT energy (no corrections): -5.071 eV per atom.

Below is a relaxed structure of CeHo2Sc2, with properties calculated at the PBE level.

Unit cell a=9.378 b=9.378 c=5.698 alpha=90.00 beta=90.00 gamma=145.73
Atoms (fractional coordinates):
Ce 0.046 0.954 0.500
Ce 0.954 0.046 0.000
Ho 0.247 0.753 0.556
Ho 0.444 0.556 0.615
Ho 0.556 0.444 0.115
Ho 0.753 0.247 0.056
Sc 0.146 0.854 0.017
Sc 0.355 0.645 0.106
Sc 0.645 0.355 0.606
Sc 0.854 0.146 0.517

Summary:
Its calculated formation energy is 11.4 kJ per mole of atoms. The total magnetization is 1.64 Bohr magnetons per cell. As for the total DFT energy (no corrections): -5.433 eV per atom.

Below is a relaxed structure of CeHo7Sc2, with properties calculated at the PBE level.

Unit cell a=8.775 b=8.775 c=5.543 alpha=90.00 beta=90.00 gamma=120.50
Atoms (fractional coordinates):
Ce 0.000 0.000 0.000
Ho 0.060 0.300 0.500
Ho 0.234 0.766 0.000
Ho 0.300 0.060 0.500
Ho 0.500 0.500 0.500
Ho 0.700 0.940 0.500
Ho 0.766 0.234 0.000
Ho 0.940 0.700 0.500
Sc 0.296 0.704 0.500
Sc 0.704 0.296 0.500

Summary:
Its calculated formation energy is 67.5 kJ per mole of atoms. The total magnetization is 1.37 Bohr magnetons per cell. As for the total DFT energy (no corrections): -4.365 eV per atom.

Below is a relaxed structure of Ce2Ho2Sc7, with properties calculated at the PBE level.

Unit cell a=7.583 b=7.583 c=5.646 alpha=106.05 beta=106.05 gamma=89.59
Atoms (fractional coordinates):
Ce 0.233 0.233 0.091
Ce 0.767 0.767 0.909
Ho 0.218 0.782 0.000
Ho 0.782 0.218 0.000
Sc 0.000 0.000 0.500
Sc 0.066 0.594 0.337
Sc 0.406 0.934 0.663
Sc 0.414 0.414 0.694
Sc 0.586 0.586 0.306
Sc 0.594 0.066 0.337
Sc 0.934 0.406 0.663

Summary:
Its calculated formation energy is 20.2 kJ per mole of atoms. The total magnetization is 1.87 Bohr magnetons per cell. As for the total DFT energy (no corrections): -5.731 eV per atom.

Below is a relaxed structure of CeHo3Sc, with properties calculated at the PBE level.

Unit cell a=9.183 b=9.183 c=6.956 alpha=101.12 beta=101.12 gamma=30.79
Atoms (fractional coordinates):
Ce 0.203 0.203 0.361
Ce 0.797 0.797 0.639
Ho 0.001 0.001 0.253
Ho 0.198 0.198 0.844
Ho 0.399 0.399 0.946
Ho 0.601 0.601 0.054
Ho 0.802 0.802 0.156
Ho 0.999 0.999 0.747
Sc 0.401 0.401 0.455
Sc 0.599 0.599 0.545

Summary:
Its calculated formation energy is 6.4 kJ per mole of atoms. The total magnetization is 1.68 Bohr magnetons per cell. As for the total DFT energy (no corrections): -5.133 eV per atom.

Below is a relaxed structure of Ce2HoSc, with properties calculated at the PBE level.

Unit cell a=4.775 b=4.775 c=4.957 alpha=90.00 beta=90.00 gamma=90.00
Atoms (fractional coordinates):
Ce 0.000 0.500 0.000
Ce 0.500 0.000 0.000
Ho 0.000 0.000 0.500
Sc 0.500 0.500 0.500

Summary:
Its calculated formation energy is 10.1 kJ per mole of atoms. The total magnetization is 1.47 Bohr magnetons per cell. As for the total DFT energy (no corrections): -5.589 eV per atom.

Below is a relaxed structure of Ce2HoSc, with properties calculated at the PBE level.

Unit cell a=3.391 b=3.391 c=9.838 alpha=90.00 beta=90.00 gamma=90.00
Atoms (fractional coordinates):
Ce 0.000 0.000 0.241
Ce 0.000 0.000 0.759
Ho 0.500 0.500 0.500
Sc 0.500 0.500 0.000

Summary:
Its calculated formation energy is 10.0 kJ per mole of atoms. The total magnetization is 1.32 Bohr magnetons per cell. As for the total DFT energy (no corrections): -5.590 eV per atom.

Below is a relaxed structure of CeHo3Sc4, with properties calculated at the PBE level.

Unit cell a=10.810 b=6.868 c=5.977 alpha=90.00 beta=90.00 gamma=90.00
Atoms (fractional coordinates):
Ce 0.000 0.132 0.000
Ce 0.500 0.868 0.500
Ho 0.000 0.869 0.500
Ho 0.250 0.134 0.341
Ho 0.250 0.866 0.841
Ho 0.500 0.131 0.000
Ho 0.750 0.134 0.341
Ho 0.750 0.866 0.841
Sc 0.000 0.382 0.512
Sc 0.000 0.614 0.007
Sc 0.249 0.620 0.336
Sc 0.251 0.380 0.836
Sc 0.500 0.386 0.507
Sc 0.500 0.618 0.012
Sc 0.749 0.380 0.836
Sc 0.751 0.620 0.336

Summary:
Its calculated formation energy is 4.9 kJ per mole of atoms. The total magnetization is 2.17 Bohr magnetons per cell. As for the total DFT energy (no corrections): -5.573 eV per atom.

Below is a relaxed structure of CeHo6Sc3, with properties calculated at the PBE level.

Unit cell a=10.551 b=10.551 c=6.240 alpha=90.00 beta=90.00 gamma=123.51
Atoms (fractional coordinates):
Ce 0.212 0.788 0.500
Ce 0.788 0.212 0.000
Ho 0.023 0.425 0.645
Ho 0.045 0.955 0.113
Ho 0.294 0.359 0.815
Ho 0.314 0.686 0.951
Ho 0.359 0.294 0.315
Ho 0.425 0.023 0.145
Ho 0.575 0.977 0.645
Ho 0.641 0.706 0.815
Ho 0.686 0.314 0.451
Ho 0.706 0.641 0.315
Ho 0.955 0.045 0.613
Ho 0.977 0.575 0.145
Sc 0.070 0.312 0.195
Sc 0.312 0.070 0.695
Sc 0.383 0.617 0.419
Sc 0.617 0.383 0.919
Sc 0.688 0.930 0.195
Sc 0.930 0.688 0.695

Summary:
Its calculated formation energy is 16.4 kJ per mole of atoms. The total magnetization is 1.38 Bohr magnetons per cell. As for the total DFT energy (no corrections): -5.070 eV per atom.

Below is a relaxed structure of Ce2HoSc, with properties calculated at the PBE level.

Unit cell a=3.405 b=3.405 c=33.425 alpha=90.00 beta=90.00 gamma=120.00
Atoms (fractional coordinates):
Ce 0.000 0.000 0.247
Ce 0.000 0.000 0.753
Ce 0.333 0.667 0.419
Ce 0.333 0.667 0.914
Ce 0.667 0.333 0.086
Ce 0.667 0.333 0.581
Ho 0.000 0.000 0.000
Ho 0.333 0.667 0.667
Ho 0.667 0.333 0.333
Sc 0.000 0.000 0.500
Sc 0.333 0.667 0.167
Sc 0.667 0.333 0.833

Summary:
Its calculated formation energy is 8.5 kJ per mole of atoms. The total magnetization is 3.50 Bohr magnetons per cell. As for the total DFT energy (no corrections): -5.607 eV per atom.

Below is a relaxed structure of CeHo2Sc5, with properties calculated at the PBE level.

Unit cell a=6.661 b=13.348 c=4.792 alpha=90.00 beta=90.00 gamma=90.00
Atoms (fractional coordinates):
Ce 0.000 0.000 0.000
Ce 0.500 0.500 0.000
Ho 0.242 0.374 0.500
Ho 0.258 0.874 0.500
Ho 0.742 0.126 0.500
Ho 0.758 0.626 0.500
Sc 0.000 0.500 0.000
Sc 0.012 0.749 0.000
Sc 0.239 0.125 0.500
Sc 0.261 0.625 0.500
Sc 0.488 0.249 0.000
Sc 0.500 0.000 0.000
Sc 0.512 0.751 0.000
Sc 0.739 0.375 0.500
Sc 0.761 0.875 0.500
Sc 0.988 0.251 0.000

Summary:
Its calculated formation energy is 6.2 kJ per mole of atoms. The total magnetization is 1.46 Bohr magnetons per cell. As for the total DFT energy (no corrections): -5.779 eV per atom.